The following is a PBE calculation of crystalline Cs2CeU3O12 at its relaxed geometry, from Alexandria.

Properties
SG: R-3m (166)
E_tot: -155.29 eV/f.u.
ΔE_f (raw): -3016 meV/atom

abc: 7.954 7.954 7.954
angles: 60.72 60.72 60.72
Atoms (fractional coordinates):
O: 0.933 0.311 0.311
O: 0.931 0.334 0.931
O: 0.689 0.067 0.689
O: 0.334 0.931 0.931
Cs: 0.377 0.377 0.377
U: 0.000 0.000 0.500
Ce: 0.000 0.000 0.000
O: 0.666 0.069 0.069
O: 0.311 0.311 0.933
U: 0.500 0.000 0.000
O: 0.931 0.931 0.334
O: 0.689 0.689 0.067
O: 0.069 0.069 0.666
O: 0.069 0.666 0.069
O: 0.311 0.933 0.311
Cs: 0.623 0.623 0.623
U: 0.000 0.500 0.000
O: 0.067 0.689 0.689